K2ScBe | SCAN | PBEsol geometry

It has space group Cmmm (No. 65), with a = 6.358 Å, b = 11.768 Å, c = 3.389 Å, α = 90.00°, β = 90.00° and γ = 90.00°. Symmetry generates all atoms from K at (0.250, 0.250, 0.000), Sc at (0.000, 0.000, 0.500) and Be at (0.000, 0.500, 0.500).

As for the formation energy: 1.02 eV per atom. The total energy is -7.795 eV per atom. The value obtained for the total magnetic moment is 2.62 μB/cell.